1.
Below is a relaxed structure of HgOs2Ru, with properties calculated at the PBE level.

**Space-group type**: No. 139
**ΔH_f (0 K)**: 790 meV/atom
**N(E_F)**: 10.11 states/eV per cell

Cell: 3.8727 3.8727 8.3006 Å, 90.00 90.00 90.00°
Last column: nearest neighbours and their distance in Å.
Fractional coordinates of all 8 atoms:
Hg: 0.0000 0.0000 0.0000  4 Ru 2.74, 8 Os 2.84
Hg: 0.5000 0.5000 0.5000  4 Ru 2.74, 8 Os 2.84
Os: 0.0000 0.5000 0.2500  4 Os 2.74, 4 Hg 2.84, 4 Ru 2.84
Os: 0.0000 0.5000 0.7500  4 Os 2.74, 4 Hg 2.84, 4 Ru 2.84
Os: 0.5000 0.0000 0.2500  4 Os 2.74, 4 Hg 2.84, 4 Ru 2.84
Os: 0.5000 0.0000 0.7500  4 Os 2.74, 4 Hg 2.84, 4 Ru 2.84
Ru: 0.0000 0.0000 0.5000  4 Hg 2.74, 8 Os 2.84
Ru: 0.5000 0.5000 0.0000  4 Hg 2.74, 8 Os 2.84

***

2.
Below is a relaxed structure of AcLa2Tb, with properties calculated at the PBE level.

**Space-group type**: No. 225
**ΔH_f (0 K)**: 153 meV/atom
**N(E_F)**: 37.00 states/eV per cell

Cell: 8.4924 8.4924 8.4924 Å, 90.00 90.00 90.00°
Last column: nearest neighbours and their distance in Å.
Fractional coordinates of all 16 atoms:
Ac: 0.0000 0.0000 0.0000  8 La 3.68
Ac: 0.0000 0.5000 0.5000  8 La 3.68
Ac: 0.5000 0.0000 0.5000  8 La 3.68
Ac: 0.5000 0.5000 0.0000  8 La 3.68
La: 0.2500 0.2500 0.2500  4 Ac 3.68, 4 Tb 3.68
La: 0.2500 0.2500 0.7500  4 Ac 3.68, 4 Tb 3.68
La: 0.2500 0.7500 0.2500  4 Ac 3.68, 4 Tb 3.68
La: 0.2500 0.7500 0.7500  4 Ac 3.68, 4 Tb 3.68
La: 0.7500 0.2500 0.2500  4 Ac 3.68, 4 Tb 3.68
La: 0.7500 0.2500 0.7500  4 Ac 3.68, 4 Tb 3.68
La: 0.7500 0.7500 0.2500  4 Ac 3.68, 4 Tb 3.68
La: 0.7500 0.7500 0.7500  4 Ac 3.68, 4 Tb 3.68
Tb: 0.0000 0.0000 0.5000  8 La 3.68
Tb: 0.0000 0.5000 0.0000  8 La 3.68
Tb: 0.5000 0.0000 0.0000  8 La 3.68
Tb: 0.5000 0.5000 0.5000  8 La 3.68

***

3.
Below is a relaxed structure of GdCdHgAu, with properties calculated at the PBE level.

**Space-group type**: No. 216
**ΔH_f (0 K)**: -522 meV/atom
**N(E_F)**: 7.61 states/eV per cell

Cell: 7.1308 7.1308 7.1308 Å, 90.00 90.00 90.00°
Last column: nearest neighbours and their distance in Å.
Fractional coordinates of all 16 atoms:
Gd: 0.0000 0.0000 0.0000  4 Hg 3.09, 4 Au 3.09
Gd: 0.0000 0.5000 0.5000  4 Hg 3.09, 4 Au 3.09
Gd: 0.5000 0.0000 0.5000  4 Hg 3.09, 4 Au 3.09
Gd: 0.5000 0.5000 0.0000  4 Hg 3.09, 4 Au 3.09
Cd: 0.0000 0.0000 0.5000  4 Au 3.09, 4 Hg 3.09
Cd: 0.0000 0.5000 0.0000  4 Au 3.09, 4 Hg 3.09
Cd: 0.5000 0.0000 0.0000  4 Au 3.09, 4 Hg 3.09
Cd: 0.5000 0.5000 0.5000  4 Au 3.09, 4 Hg 3.09
Hg: 0.2500 0.2500 0.7500  4 Cd 3.09, 4 Gd 3.09
Hg: 0.2500 0.7500 0.2500  4 Cd 3.09, 4 Gd 3.09
Hg: 0.7500 0.2500 0.2500  4 Cd 3.09, 4 Gd 3.09
Hg: 0.7500 0.7500 0.7500  4 Cd 3.09, 4 Gd 3.09
Au: 0.2500 0.2500 0.2500  4 Cd 3.09, 4 Gd 3.09
Au: 0.2500 0.7500 0.7500  4 Cd 3.09, 4 Gd 3.09
Au: 0.7500 0.2500 0.7500  4 Cd 3.09, 4 Gd 3.09
Au: 0.7500 0.7500 0.2500  4 Cd 3.09, 4 Gd 3.09

***

4.
Below is a relaxed structure of LaSb2PbO, with properties calculated at the PBE level.

**Space-group type**: No. 123
**N(E_F)**: 2.50 states/eV per cell
**Formation energy from raw total energies**: -19.2 kcal/mol of atoms

Cell: 5.3000 5.3000 4.6533 Å, 90.00 90.00 90.00°
Last column: nearest neighbours and their distance in Å.
Fractional coordinates of all 5 atoms:
La: 0.0000 0.0000 0.0000  2 O 2.33
Sb: 0.0000 0.5000 0.5000  2 O 2.65
Sb: 0.5000 0.0000 0.5000  2 O 2.65
Pb: 0.5000 0.5000 0.0000  8 Sb 3.53, 4 La 3.75
O: 0.0000 0.0000 0.5000  2 La 2.33

***

5.
Below is a relaxed structure of Ac2NdTc2N6, with properties calculated at the PBE level.

**Space-group type**: No. 166
**N(E_F)**: 3.49 states/eV per cell
**Formation energy from raw total energies**: -15.6 kcal/mol of atoms

Cell: 7.1672 7.1672 7.1672 Å, 48.65 48.65 48.65°
Last column: nearest neighbours and their distance in Å.
Fractional coordinates of all 11 atoms:
Ac: 0.2114 0.2114 0.2114  9 N 2.74-2.99
Ac: 0.7886 0.7886 0.7886  9 N 2.74-2.99
Nd: 0.0000 0.0000 0.0000  6 N 2.49
Tc: 0.4033 0.4033 0.4033  3 N 1.80
Tc: 0.5967 0.5967 0.5967  3 N 1.80
N: 0.2320 0.7386 0.7386  1 Tc 1.80
N: 0.2614 0.2614 0.7680  1 Tc 1.80
N: 0.2614 0.7680 0.2614  1 Tc 1.80
N: 0.7386 0.2320 0.7386  1 Tc 1.80
N: 0.7386 0.7386 0.2320  1 Tc 1.80
N: 0.7680 0.2614 0.2614  1 Tc 1.80

***

6.
Below is a relaxed structure of CaAg3F12, with properties calculated at the PBE level.

**Space-group type**: No. 161
**N(E_F)**: 29.28 states/eV per cell
**Formation energy from raw total energies**: -33.5 kcal/mol of atoms

Cell: 8.3559 8.3559 8.3559 Å, 84.46 84.46 84.46°
Last column: nearest neighbours and their distance in Å.
Fractional coordinates of all 32 atoms:
Ca: 0.0000 0.0000 0.0000  6 F 2.27
Ca: 0.5000 0.5000 0.5000  6 F 2.27
Ag: 0.1013 0.7500 0.3991  4 F 1.93-1.97
Ag: 0.2500 0.6013 0.8991  4 F 1.93-1.97
Ag: 0.3991 0.1013 0.7500  4 F 1.93-1.97
Ag: 0.6013 0.8991 0.2500  4 F 1.93-1.97
Ag: 0.7500 0.3991 0.1013  4 F 1.93-1.97
Ag: 0.8991 0.2500 0.6013  4 F 1.93-1.97
F: 0.0549 0.6081 0.5915  1 Ag 1.93
F: 0.0915 0.1081 0.5549  1 Ag 1.93
F: 0.1081 0.5549 0.0915  1 Ag 1.93
F: 0.1130 0.8008 0.8476  1 Ag 1.97
F: 0.1517 0.8882 0.2003  1 Ag 1.96
F: 0.2003 0.1517 0.8882  1 Ag 1.96
F: 0.3008 0.6130 0.3476  1 Ag 1.97
F: 0.3476 0.3008 0.6130  1 Ag 1.97
F: 0.3882 0.6517 0.7003  1 Ag 1.96
F: 0.3906 0.4085 0.9471  1 Ag 1.93
F: 0.4085 0.9471 0.3906  1 Ag 1.93
F: 0.4471 0.9085 0.8906  1 Ag 1.93
F: 0.5549 0.0915 0.1081  1 Ag 1.93
F: 0.5915 0.0549 0.6081  1 Ag 1.93
F: 0.6081 0.5915 0.0549  1 Ag 1.93
F: 0.6130 0.3476 0.3008  1 Ag 1.97
F: 0.6517 0.7003 0.3882  1 Ag 1.96
F: 0.7003 0.3882 0.6517  1 Ag 1.96
F: 0.8008 0.8476 0.1130  1 Ag 1.97
F: 0.8476 0.1130 0.8008  1 Ag 1.97
F: 0.8882 0.2003 0.1517  1 Ag 1.96
F: 0.8906 0.4471 0.9085  1 Ag 1.93
F: 0.9085 0.8906 0.4471  1 Ag 1.93
F: 0.9471 0.3906 0.4085  1 Ag 1.93

***

7.
Below is a relaxed structure of CePr6Y2Er, with properties calculated at the PBE level.

**Space-group type**: No. 12
**ΔH_f (0 K)**: 230 meV/atom
**N(E_F)**: 22.04 states/eV per cell

Cell: 6.7147 6.7147 8.9002 Å, 101.35 101.35 64.48°
Last column: nearest neighbours and their distance in Å.
Fractional coordinates of all 10 atoms:
Ce: 0.0000 0.0000 0.0000  6 Pr 3.51-3.67, 4 Y 3.92
Pr: 0.0980 0.5628 0.2050  2 Y 3.25-3.52, 1 Er 3.32, 1 Pr 3.33, 1 Ce 3.51
Pr: 0.1274 0.1274 0.4183  5 Pr 3.53-3.79, 1 Ce 3.67
Pr: 0.4372 0.9020 0.7950  2 Y 3.25-3.52, 1 Er 3.32, 1 Pr 3.33, 1 Ce 3.51
Pr: 0.5628 0.0980 0.2050  2 Y 3.25-3.52, 1 Er 3.32, 1 Pr 3.33, 1 Ce 3.51
Pr: 0.8726 0.8726 0.5817  5 Pr 3.53-3.79, 1 Ce 3.67
Pr: 0.9020 0.4372 0.7950  2 Y 3.25-3.52, 1 Er 3.32, 1 Pr 3.33, 1 Ce 3.51
Y: 0.4061 0.4061 0.8352  1 Y 3.20, 4 Pr 3.25-3.52, 1 Er 3.39
Y: 0.5939 0.5939 0.1648  1 Y 3.20, 4 Pr 3.25-3.52, 1 Er 3.39
Er: 0.5000 0.5000 0.5000  4 Pr 3.32, 2 Y 3.39

***

8.
Below is a relaxed structure of Ba4ScSi, with properties calculated at the PBE level.

**Space-group type**: No. 216
**N(E_F)**: 7.05 states/eV per cell
**Formation energy from raw total energies**: 16.7 kcal/mol of atoms

Cell: 7.1410 7.1410 7.1410 Å, 60.00 60.00 60.00°
Last column: nearest neighbours and their distance in Å.
Fractional coordinates of all 6 atoms:
Ba: 0.3759 0.3759 0.3759  6 Ba 3.55-3.60
Ba: 0.3759 0.3759 0.8724  6 Ba 3.55-3.60
Ba: 0.3759 0.8724 0.3759  6 Ba 3.55-3.60
Ba: 0.8724 0.3759 0.3759  6 Ba 3.55-3.60
Sc: 0.0000 0.0000 0.0000  12 Ba 4.19, 4 Si 4.37
Si: 0.7500 0.7500 0.7500  12 Ba 4.18, 4 Sc 4.37

***

9.
Below is a relaxed structure of NdSmHgOs, with properties calculated at the PBE level.

**Space-group type**: No. 216
**ΔH_f (0 K)**: -146 meV/atom
**N(E_F)**: 10.65 states/eV per cell

Cell: 7.2839 7.2839 7.2839 Å, 90.00 90.00 90.00°
Last column: nearest neighbours and their distance in Å.
Fractional coordinates of all 16 atoms:
Nd: 0.0000 0.0000 0.0000  4 Hg 3.15, 4 Os 3.15
Nd: 0.0000 0.5000 0.5000  4 Hg 3.15, 4 Os 3.15
Nd: 0.5000 0.0000 0.5000  4 Hg 3.15, 4 Os 3.15
Nd: 0.5000 0.5000 0.0000  4 Hg 3.15, 4 Os 3.15
Sm: 0.0000 0.0000 0.5000  4 Os 3.15, 4 Hg 3.15
Sm: 0.0000 0.5000 0.0000  4 Os 3.15, 4 Hg 3.15
Sm: 0.5000 0.0000 0.0000  4 Os 3.15, 4 Hg 3.15
Sm: 0.5000 0.5000 0.5000  4 Os 3.15, 4 Hg 3.15
Hg: 0.2500 0.2500 0.7500  4 Nd 3.15, 4 Sm 3.15
Hg: 0.2500 0.7500 0.2500  4 Nd 3.15, 4 Sm 3.15
Hg: 0.7500 0.2500 0.2500  4 Nd 3.15, 4 Sm 3.15
Hg: 0.7500 0.7500 0.7500  4 Nd 3.15, 4 Sm 3.15
Os: 0.2500 0.2500 0.2500  4 Nd 3.15, 4 Sm 3.15
Os: 0.2500 0.7500 0.7500  4 Nd 3.15, 4 Sm 3.15
Os: 0.7500 0.2500 0.7500  4 Nd 3.15, 4 Sm 3.15
Os: 0.7500 0.7500 0.2500  4 Nd 3.15, 4 Sm 3.15

***

10.
Below is a relaxed structure of BaCrFe2Rh, with properties calculated at the PBE level.

**Space-group type**: No. 123
**ΔH_f (0 K)**: 763 meV/atom
**N(E_F)**: 6.02 states/eV per cell

Cell: 4.8618 4.8618 4.7868 Å, 90.00 90.00 90.00°
Last column: nearest neighbours and their distance in Å.
Fractional coordinates of all 5 atoms:
Ba: 0.0000 0.0000 0.0000  8 Fe 3.41, 4 Cr 3.44
Cr: 0.5000 0.5000 0.0000  2 Rh 2.39
Fe: 0.0000 0.5000 0.5000  2 Rh 2.43
Fe: 0.5000 0.0000 0.5000  2 Rh 2.43
Rh: 0.5000 0.5000 0.5000  2 Cr 2.39, 4 Fe 2.43

***

11.
Below is a relaxed structure of CsIn2As, with properties calculated at the PBE level.

**Space-group type**: No. 166
**ΔH_f (0 K)**: -152 meV/atom
**N(E_F)**: 1.92 states/eV per cell

Cell: 4.4742 4.4742 25.9450 Å, 90.00 90.00 120.00°
Last column: nearest neighbours and their distance in Å.
Fractional coordinates of all 12 atoms:
Cs: 0.0000 0.0000 0.0000  6 In 3.91
Cs: 0.3333 0.6667 0.6667  6 In 3.91
Cs: 0.6667 0.3333 0.3333  6 In 3.91
In: 0.0000 0.0000 0.2203  3 As 2.93
In: 0.0000 0.0000 0.7797  3 As 2.93
In: 0.3333 0.6667 0.4464  3 As 2.93
In: 0.3333 0.6667 0.8870  3 As 2.93
In: 0.6667 0.3333 0.1130  3 As 2.93
In: 0.6667 0.3333 0.5536  3 As 2.93
As: 0.0000 0.0000 0.5000  6 In 2.93
As: 0.3333 0.6667 0.1667  6 In 2.93
As: 0.6667 0.3333 0.8333  6 In 2.93

***

12.
Below is a relaxed structure of Ce2ThO, with properties calculated at the PBE level.

**Space-group type**: No. 166
**N(E_F)**: 24.94 states/eV per cell
**Formation energy from raw total energies**: -25.6 kcal/mol of atoms

Cell: 3.3808 3.3808 29.0092 Å, 90.00 90.00 120.00°
Last column: nearest neighbours and their distance in Å.
Fractional coordinates of all 12 atoms:
Ce: 0.0000 0.0000 0.1152  3 O 2.46
Ce: 0.0000 0.0000 0.8848  3 O 2.46
Ce: 0.3333 0.6667 0.5515  3 O 2.46
Ce: 0.3333 0.6667 0.7819  3 O 2.46
Ce: 0.6667 0.3333 0.2181  3 O 2.46
Ce: 0.6667 0.3333 0.4485  3 O 2.46
Th: 0.0000 0.0000 0.0000  2 Ce 3.34, 6 Th 3.38
Th: 0.3333 0.6667 0.6667  2 Ce 3.34, 6 Th 3.38
Th: 0.6667 0.3333 0.3333  2 Ce 3.34, 6 Th 3.38
O: 0.0000 0.0000 0.5000  6 Ce 2.46
O: 0.3333 0.6667 0.1667  6 Ce 2.46
O: 0.6667 0.3333 0.8333  6 Ce 2.46